DFT (PBE) results for TbCeTh6 after structural relaxation.

As for the space group: P4/mmm. Its total magnetization is 0.000 Bohr magnetons per cell. The density of states at the Fermi level is 14.19 states/eV/f.u. The energy of formation from the pure elements comes out at 0.04 eV per atom. Its raw total energy is -54.8 eV/cell.

Cell: 5.0131 5.0131 10.0388 Å, 90.00 90.00 90.00°
With the nearest neighbours (Å) after each atom.
Fractional coordinates of all 8 atoms:
Th: 0.5000 0.0000 0.2540  8 Th 3.52-3.58, 2 Ce 3.52, 2 Tb 3.58
Th: 0.5000 0.5000 0.5000  8 Th 3.52, 4 Ce 3.54
Th: 0.0000 0.5000 0.2540  8 Th 3.52-3.58, 2 Ce 3.52, 2 Tb 3.58
Th: 0.5000 0.5000 0.0000  4 Tb 3.54, 8 Th 3.58
Th: 0.0000 0.5000 0.7460  2 Ce 3.52, 8 Th 3.52-3.58, 2 Tb 3.58
Th: 0.5000 0.0000 0.7460  2 Ce 3.52, 8 Th 3.52-3.58, 2 Tb 3.58
Tb: 0.0000 0.0000 0.0000  12 Th 3.54-3.58
Ce: 0.0000 0.0000 0.5000  12 Th 3.52-3.54

DFT (PBE) results for Tb3CeTh2 after structural relaxation.

As for the space group: C2/m. Its total magnetization is 0.552 Bohr magnetons per cell. The density of states at the Fermi level is 11.45 states/eV/f.u. The energy of formation from the pure elements comes out at 0.06 eV per atom. Its raw total energy is -68.6 eV/cell.

Cell: 3.5547 11.0292 11.0951 Å, 63.26 80.78 80.73°
With the nearest neighbours (Å) after each atom.
Fractional coordinates of all 12 atoms:
Th: 0.9461 0.1805 0.9274  4 Ce 3.45-3.53, 5 Th 3.52-3.55, 3 Tb 3.53-3.58
Th: 0.2816 0.3422 0.0945  6 Th 3.52-3.61, 1 Ce 3.53, 5 Tb 3.53-3.58
Th: 0.7184 0.6578 0.9055  6 Th 3.52-3.61, 1 Ce 3.53, 5 Tb 3.53-3.58
Th: 0.0539 0.8195 0.0726  4 Ce 3.45-3.53, 5 Th 3.52-3.55, 3 Tb 3.53-3.58
Tb: 0.3863 0.4910 0.7364  7 Tb 3.52-3.60, 5 Th 3.53-3.58
Tb: 0.0556 0.3193 0.5695  1 Th 3.53, 2 Ce 3.54, 9 Tb 3.55-3.60
Tb: 0.6137 0.5090 0.2636  7 Tb 3.52-3.60, 5 Th 3.53-3.58
Tb: 0.2762 0.8496 0.5979  7 Tb 3.52-3.58, 2 Th 3.57, 3 Ce 3.62-3.66
Tb: 0.7238 0.1504 0.4021  7 Tb 3.52-3.58, 2 Th 3.57, 3 Ce 3.62-3.66
Tb: 0.9444 0.6807 0.4305  1 Th 3.53, 2 Ce 3.54, 9 Tb 3.55-3.60
Ce: 0.6056 0.0171 0.7717  5 Th 3.45-3.53, 5 Tb 3.54-3.66, 2 Ce 3.55
Ce: 0.3944 0.9829 0.2283  5 Th 3.45-3.53, 5 Tb 3.54-3.66, 2 Ce 3.55

DFT (PBE) results for TbCeTh2 after structural relaxation.

As for the space group: R-3m. Its total magnetization is 0.001 Bohr magnetons per cell. The density of states at the Fermi level is 9.07 states/eV/f.u. The value obtained for the energy above the most stable polymorph in this dataset is 217 meV/atom. The energy of formation from the pure elements comes out at 0.25 eV per atom. Its raw total energy is -24.4 eV/cell.

Cell: 3.4466 3.4466 12.5132 Å, 82.08 82.08 60.00°
With the nearest neighbours (Å) after each atom.
Fractional coordinates of all 4 atoms:
Ce: 0.5000 0.5000 0.5000  6 Ce 3.45, 6 Th 3.54
Tb: 0.0000 0.0000 0.0000  2 Th 3.25, 6 Tb 3.45
Th: 0.0877 0.0877 0.7370  1 Tb 3.25, 6 Th 3.45, 3 Ce 3.54
Th: 0.9123 0.9123 0.2630  1 Tb 3.25, 6 Th 3.45, 3 Ce 3.54

DFT (PBE) results for TbCe2Th after structural relaxation.

As for the space group: Fm-3m. Its total magnetization is 2.361 Bohr magnetons per cell. The density of states at the Fermi level is 16.89 states/eV/f.u. The value obtained for the energy above the most stable polymorph in this dataset is 216 meV/atom. The energy of formation from the pure elements comes out at 0.27 eV per atom. Its raw total energy is -22.8 eV/cell.

Cell: 5.5894 5.5894 5.5894 Å, 60.00 60.00 60.00°
With the nearest neighbours (Å) after each atom.
Fractional coordinates of all 4 atoms:
Tb: 0.5000 0.5000 0.5000  8 Ce 3.42
Th: 0.0000 0.0000 0.0000  8 Ce 3.42
Ce: 0.7500 0.7500 0.7500  4 Th 3.42, 4 Tb 3.42
Ce: 0.2500 0.2500 0.2500  4 Tb 3.42, 4 Th 3.42

DFT (PBE) results for Tb8Ce2Th3 after structural relaxation.

As for the space group: P-1. Its total magnetization is 4.146 Bohr magnetons per cell. The density of states at the Fermi level is 28.05 states/eV/f.u. The energy of formation from the pure elements comes out at 0.23 eV per atom. Its raw total energy is -136.4 eV/cell.

Cell: 13.1093 9.0584 12.2454 Å, 112.93 57.44 136.35°
With the nearest neighbours (Å) after each atom.
Fractional coordinates of all 26 atoms:
Th: 0.0000 0.0000 0.0000  6 Tb 3.23-3.56, 2 Th 3.48
Th: 0.5000 0.0000 0.5000  6 Tb 3.23-3.55, 2 Th 3.49
Th: 0.2049 0.9100 0.2504  8 Tb 3.43-3.49, 2 Ce 3.76
Th: 0.6154 0.7302 0.2497  6 Tb 3.39-3.76, 2 Th 3.48-3.49, 2 Ce 3.63
Th: 0.7951 0.0900 0.7496  8 Tb 3.43-3.49, 2 Ce 3.76
Th: 0.3846 0.2698 0.7503  6 Tb 3.39-3.76, 2 Th 3.48-3.49, 2 Ce 3.63
Tb: 0.5063 0.0895 0.8064  2 Ce 3.35-3.68, 3 Th 3.39-3.55, 6 Tb 3.45-3.67
Tb: 0.9157 0.2533 0.9924  6 Tb 3.22-3.57, 2 Th 3.23-3.43
Tb: 0.6673 0.7166 0.9144  5 Tb 3.26-3.61, 2 Th 3.43-3.65, 1 Ce 3.61
Tb: 0.8836 0.5708 0.7886  1 Ce 3.24, 5 Tb 3.29-3.55, 2 Th 3.46-3.49
Tb: 0.8379 0.2534 0.5071  6 Tb 3.22-3.57, 2 Th 3.23-3.43
Tb: 0.4511 0.2833 0.4146  5 Tb 3.26-3.61, 2 Th 3.43-3.65, 1 Ce 3.62
Tb: 0.3327 0.2834 0.0856  5 Tb 3.26-3.61, 2 Th 3.43-3.65, 1 Ce 3.61
Tb: 0.1164 0.4292 0.2114  1 Ce 3.24, 5 Tb 3.29-3.55, 2 Th 3.46-3.49
Tb: 0.5489 0.7167 0.5854  5 Tb 3.26-3.61, 2 Th 3.43-3.65, 1 Ce 3.62
Tb: 0.1621 0.7466 0.4929  6 Tb 3.22-3.57, 2 Th 3.23-3.43
Tb: 0.0843 0.7467 0.0076  6 Tb 3.22-3.57, 2 Th 3.23-3.43
Tb: 0.0831 0.0893 0.6932  2 Ce 3.35-3.68, 3 Th 3.39-3.56, 6 Tb 3.45-3.67
Tb: 0.4937 0.9105 0.1936  2 Ce 3.35-3.68, 3 Th 3.39-3.55, 6 Tb 3.45-3.67
Tb: 0.9169 0.9107 0.3068  2 Ce 3.35-3.68, 3 Th 3.39-3.56, 6 Tb 3.45-3.67
Tb: 0.8133 0.4289 0.2882  1 Ce 3.24, 5 Tb 3.29-3.55, 2 Th 3.46-3.49
Tb: 0.1867 0.5711 0.7118  1 Ce 3.24, 5 Tb 3.29-3.55, 2 Th 3.46-3.49
Ce: 0.8160 0.6638 0.5659  3 Tb 3.24-3.61
Ce: 0.1840 0.3362 0.4341  3 Tb 3.24-3.61
Ce: 0.6523 0.3353 0.0657  3 Tb 3.24-3.62
Ce: 0.3477 0.6647 0.9343  3 Tb 3.24-3.62

DFT (PBE) results for TbCe6Th8 after structural relaxation.

As for the space group: P-3. Its total magnetization is 4.179 Bohr magnetons per cell. The density of states at the Fermi level is 42.51 states/eV/f.u. The energy of formation from the pure elements comes out at 0.27 eV per atom. Its raw total energy is -95.5 eV/cell.

Cell: 6.4405 9.3356 9.3356 Å, 120.00 90.00 90.00°
With the nearest neighbours (Å) after each atom.
Fractional coordinates of all 15 atoms:
Th: 0.8617 0.2872 0.9919  3 Th 3.25-3.28, 4 Ce 3.31-3.45, 1 Tb 3.58
Th: 0.1383 0.7128 0.0081  3 Th 3.25-3.28, 4 Ce 3.31-3.45, 1 Tb 3.58
Th: 0.1383 0.9919 0.7047  3 Th 3.25-3.28, 4 Ce 3.31-3.45, 1 Tb 3.58
Th: 0.9015 0.3333 0.6667  3 Th 3.28
Th: 0.8617 0.0081 0.2953  3 Th 3.25-3.28, 4 Ce 3.31-3.45, 1 Tb 3.58
Th: 0.0985 0.6667 0.3333  3 Th 3.28
Th: 0.8617 0.7047 0.7128  3 Th 3.25-3.28, 4 Ce 3.31-3.45, 1 Tb 3.58
Th: 0.1383 0.2953 0.2872  3 Th 3.25-3.28, 4 Ce 3.31-3.45, 1 Tb 3.58
Ce: 0.3731 0.3549 0.9348  1 Ce 2.86
Ce: 0.6269 0.4202 0.3549  1 Ce 2.86
Ce: 0.3731 0.5798 0.6451  1 Ce 2.86
Ce: 0.3731 0.0652 0.4202  1 Ce 2.86
Ce: 0.6269 0.9348 0.5798  1 Ce 2.86
Ce: 0.6269 0.6451 0.0652  1 Ce 2.86
Tb: 0.5000 0.0000 0.0000  6 Th 3.58, 6 Ce 3.75

DFT (PBE) results for Tb5CeTh after structural relaxation.

As for the space group: C2/c. Its total magnetization is 2.379 Bohr magnetons per cell. The density of states at the Fermi level is 15.44 states/eV/f.u. The energy of formation from the pure elements comes out at 0.22 eV per atom. Its raw total energy is -69.9 eV/cell.

Cell: 6.1077 9.2716 8.7304 Å, 85.69 76.80 70.77°
With the nearest neighbours (Å) after each atom.
Fractional coordinates of all 14 atoms:
Ce: 0.5097 0.9805 0.7500  2 Th 3.33, 4 Tb 3.39-3.57
Ce: 0.4903 0.0195 0.2500  2 Th 3.33, 4 Tb 3.39-3.57
Tb: 0.1469 0.7062 0.2500  6 Tb 3.31-3.47, 2 Th 3.37
Tb: 0.9816 0.6309 0.6471  9 Tb 3.33-3.66, 1 Ce 3.57, 1 Th 3.59
Tb: 0.8531 0.2938 0.7500  6 Tb 3.31-3.47, 2 Th 3.37
Tb: 0.6124 0.3691 0.1471  9 Tb 3.33-3.66, 1 Ce 3.57, 1 Th 3.59
Tb: 0.0184 0.3691 0.3529  9 Tb 3.33-3.66, 1 Ce 3.57, 1 Th 3.59
Tb: 0.5422 0.6911 0.4591  6 Tb 3.31-3.64, 1 Ce 3.39, 1 Th 3.56
Tb: 0.2333 0.3089 0.9591  6 Tb 3.31-3.64, 1 Ce 3.39, 1 Th 3.56
Tb: 0.7667 0.6911 0.0409  6 Tb 3.31-3.64, 1 Ce 3.39, 1 Th 3.56
Tb: 0.3876 0.6309 0.8529  9 Tb 3.33-3.66, 1 Ce 3.57, 1 Th 3.59
Tb: 0.4578 0.3089 0.5409  6 Tb 3.31-3.64, 1 Ce 3.39, 1 Th 3.56
Th: 0.0000 0.0000 0.0000  2 Ce 3.33, 6 Tb 3.37-3.59
Th: 0.0000 0.0000 0.5000  2 Ce 3.33, 6 Tb 3.37-3.59

DFT (PBE) results for Tb2CeTh5 after structural relaxation.

As for the space group: P4/mmm. Its total magnetization is 0.000 Bohr magnetons per cell. The density of states at the Fermi level is 17.06 states/eV/f.u. The energy of formation from the pure elements comes out at 0.68 eV per atom. Its raw total energy is -46.8 eV/cell.

Cell: 5.4752 7.2473 7.2473 Å, 90.00 90.00 90.00°
With the nearest neighbours (Å) after each atom.
Fractional coordinates of all 8 atoms:
Tb: 0.5000 0.5000 0.0000  10 Th 3.62-3.76
Tb: 0.5000 0.0000 0.5000  10 Th 3.62-3.76
Th: 0.0000 0.7219 0.2781  1 Ce 2.85
Th: 0.5000 0.0000 0.0000  2 Ce 2.74
Th: 0.0000 0.2781 0.2781  1 Ce 2.85
Th: 0.0000 0.2781 0.7219  1 Ce 2.85
Th: 0.0000 0.7219 0.7219  1 Ce 2.85
Ce: 0.0000 0.0000 0.0000  6 Th 2.74-2.85

DFT (PBE) results for TbCe2Th after structural relaxation.

As for the space group: P2/m. Its total magnetization is 1.241 Bohr magnetons per cell. The density of states at the Fermi level is 10.64 states/eV/f.u. The value obtained for the energy above the most stable polymorph in this dataset is 104 meV/atom. The energy of formation from the pure elements comes out at 0.16 eV per atom. Its raw total energy is -23.3 eV/cell.

Cell: 5.9401 3.4099 9.0280 Å, 138.76 90.00 90.00°
With the nearest neighbours (Å) after each atom.
Fractional coordinates of all 4 atoms:
Ce: 0.0000 0.3381 0.2722  4 Ce 3.06-3.41, 2 Th 3.34
Ce: 0.0000 0.6619 0.7278  4 Ce 3.06-3.41, 2 Th 3.34
Th: 0.5000 0.0000 0.5000  4 Ce 3.34, 2 Th 3.41, 4 Tb 3.42-3.44
Tb: 0.5000 0.5000 0.0000  2 Tb 3.41, 4 Th 3.42-3.44, 4 Ce 3.53

DFT (PBE) results for Tb2CeTh after structural relaxation.

As for the space group: P4/mmm. Its total magnetization is 1.038 Bohr magnetons per cell. The density of states at the Fermi level is 7.48 states/eV/f.u. The value obtained for the energy above the most stable polymorph in this dataset is 27 meV/atom. The energy of formation from the pure elements comes out at 0.08 eV per atom. Its raw total energy is -22.3 eV/cell.

Cell: 3.5198 3.5198 10.2112 Å, 90.00 90.00 90.00°
With the nearest neighbours (Å) after each atom.
Fractional coordinates of all 4 atoms:
Th: 0.5000 0.5000 0.0000  4 Th 3.52, 8 Tb 3.55
Tb: 0.0000 0.0000 0.7517  4 Tb 3.52, 4 Th 3.55, 4 Ce 3.58
Tb: 0.0000 0.0000 0.2483  4 Tb 3.52, 4 Th 3.55, 4 Ce 3.58
Ce: 0.5000 0.5000 0.5000  4 Ce 3.52, 8 Tb 3.58

> Look up the raw total energy of the sixth one.

-95.5 eV/cell